[1]
This record from Alexandria via LeMat-Bulk describes TeIr2Cl at its PBEsol-relaxed geometry. The functional is meta-GGA SCAN.

Computed properties:
- Energy above the lowest structure with this stoichiometry: 0.4415 eV/atom
- ΔE_f (raw): 890.2 meV per atom

Cell: 5.7074 9.2159 2.9173 Å, 90.00 118.99 90.00°
Space group C2/m (No. 12)
Unique sites:
Te 0.0000 0.0000 0.0000 [2 per cell]
Ir 0.2500 0.2500 0.0000 [4 per cell]
Cl 0.0000 0.5000 0.0000 [2 per cell]

---

[2]
This record from Alexandria via LeMat-Bulk describes TlCrIr at its PBEsol-relaxed geometry. The functional is meta-GGA SCAN.

Computed properties:
- Energy above the lowest structure with this stoichiometry: 0.0000 eV/atom
- DFT formation energy: 0.45 eV/atom

Cell: 4.3721 4.3721 2.9713 Å, 90.00 90.00 120.00°
Space group P-6m2 (No. 187)
Unique sites:
Tl 0.0000 0.0000 0.0000 [1 per cell]
Cr 0.3333 0.6667 0.5000 [1 per cell]
Ir 0.6667 0.3333 0.5000 [1 per cell]

---

[3]
This record from Alexandria via LeMat-Bulk describes Cu2RhSe at its PBEsol-relaxed geometry. The functional is meta-GGA SCAN.

Computed properties:
- ΔE_f (raw): 119.8 meV per atom

Cell: 3.2271 3.9776 8.3045 Å, 90.00 90.00 90.00°
Space group Immm (No. 71)
Unique sites:
Cu 0.0000 0.0000 0.2371 [4 per cell]
Rh 0.0000 0.5000 0.0000 [2 per cell]
Se 0.0000 0.5000 0.5000 [2 per cell]

---

- Number 1 is which compound?
  TeIr2Cl

---

- Which formula does entry 2 have?
  TlCrIr